1.
VASP calculation (PBE-GGA) on a relaxed structure of BTeS2.

Uncorrected formation energy   1.25 eV per atom
N(E_F)   1.12 states/eV/f.u.
ΔE to the lowest computed polymorph   348.4 kJ/mol of formula units
Magnetization   0.0 μB/f.u.

CIF file:
```
data_BTeS2
_cell_length_a 6.5165
_cell_length_b 6.5165
_cell_length_c 6.5165
_cell_angle_alpha 90.00
_cell_angle_beta 90.00
_cell_angle_gamma 90.00
_space_group_name_H-M_alt 'F m -3 m'
_space_group_IT_number 225
_space_group_name_Hall '-F 4 2 3'
loop_
_atom_site_label
_atom_site_type_symbol
_atom_site_fract_x
_atom_site_fract_y
_atom_site_fract_z
B1 B 0.0000 0.0000 0.0000
Te1 Te 0.0000 0.0000 0.5000
S1 S 0.2500 0.2500 0.2500
```

2.
VASP calculation (PBE-GGA) on a relaxed structure of TiBTeS2.

Uncorrected formation energy   1.21 eV per atom
N(E_F)   8.21 states/eV/f.u.
Magnetization   0.2 μB/f.u.

CIF file:
```
data_TiBTeS2
_cell_length_a 5.0607
_cell_length_b 5.0607
_cell_length_c 4.2723
_cell_angle_alpha 90.00
_cell_angle_beta 90.00
_cell_angle_gamma 90.00
_space_group_name_H-M_alt 'P 4/m m m'
_space_group_IT_number 123
_space_group_name_Hall '-P 4 2'
loop_
_atom_site_label
_atom_site_type_symbol
_atom_site_fract_x
_atom_site_fract_y
_atom_site_fract_z
Ti1 Ti 0.0000 0.0000 0.0000
B1 B 0.5000 0.5000 0.0000
Te1 Te 0.5000 0.5000 0.5000
S1 S 0.0000 0.5000 0.5000
```

3.
VASP calculation (PBE-GGA) on a relaxed structure of TlBTe2S6.

Uncorrected formation energy   -0.11 eV per atom
Magnetization   0.0 μB/f.u.

CIF file:
```
data_TlBTe2S6
_cell_length_a 15.1177
_cell_length_b 8.2848
_cell_length_c 9.8062
_cell_angle_alpha 90.00
_cell_angle_beta 97.85
_cell_angle_gamma 90.00
_space_group_name_H-M_alt 'C 1 2/c 1'
_space_group_IT_number 15
loop_
_space_group_symop_operation_xyz
'x,y,z'
'-x,-y,-z'
'-x,y,-z+1/2'
'x,-y,z+1/2'
'x+1/2,y+1/2,z'
'-x+1/2,-y+1/2,-z'
'-x+1/2,y+1/2,-z+1/2'
'x+1/2,-y+1/2,z+1/2'
loop_
_atom_site_label
_atom_site_type_symbol
_atom_site_fract_x
_atom_site_fract_y
_atom_site_fract_z
Tl1 Tl 0.0000 0.0153 0.2500
B1 B 0.0000 0.4623 0.7500
Te1 Te 0.1428 0.3721 0.5133
S1 S 0.0111 0.3235 0.9107
S2 S 0.1052 0.4010 0.2624
S3 S 0.1718 0.0925 0.5264
```

4.
VASP calculation (PBE-GGA) on a relaxed structure of Tm8BTe4S3.

Uncorrected formation energy   -1.44 eV per atom
N(E_F)   4.60 states/eV/f.u.
Magnetization   0.0 μB/f.u.

CIF file:
```
data_Tm8BTe4S3
_cell_length_a 7.9785
_cell_length_b 7.9785
_cell_length_c 20.7610
_cell_angle_alpha 90.00
_cell_angle_beta 90.00
_cell_angle_gamma 120.00
_space_group_name_H-M_alt 'R -3 m'
_space_group_IT_number 166
_space_group_name_Hall '-R 3 2"'
loop_
_atom_site_label
_atom_site_type_symbol
_atom_site_fract_x
_atom_site_fract_y
_atom_site_fract_z
Tm1 Tm 0.0000 0.0000 0.2347
Tm2 Tm 0.0226 0.5113 0.2333
B1 B 0.0000 0.0000 0.5000
Te1 Te 0.0000 0.0000 0.0000
Te2 Te 0.0000 0.5000 0.0000
S1 S 0.0000 0.5000 0.5000
```